[1]
Density functional theory data (PBE) for a geometry-optimized Y2TaPd structure.

E_tot = -7.18 eV/atom
volume = 24.07 Å³/atom
energy above the most stable polymorph in this dataset = 234 meV per atom
D(E_F) = 11.09 states/eV per cell
total magnetic moment = 0.000 μB per atom

```
data_Y2TaPd
_chemical_formula_sum 'Y4 Ta2 Pd2'
_cell_length_a 7.949
_cell_length_b 7.949
_cell_length_c 6.394
_cell_angle_alpha 51.56
_cell_angle_beta 51.56
_cell_angle_gamma 90.00
_space_group_name_H-M_alt 'P 1'
_space_group_IT_number 1
loop_
_space_group_symop_operation_xyz
'x,y,z'
loop_
_atom_site_label
_atom_site_type_symbol
_atom_site_fract_x
_atom_site_fract_y
_atom_site_fract_z
_atom_site_occupancy
Y1 Y 0.875 0.838 0.750 1
Y2 Y 0.162 0.625 0.250 1
Y3 Y 0.375 0.412 0.750 1
Ta1 Ta 0.750 0.250 0.500 1
Ta2 Ta 0.000 0.000 0.000 1
Pd1 Pd 0.500 0.500 0.000 1
Y4 Y 0.588 0.125 0.250 1
Pd2 Pd 0.250 0.750 0.500 1
```

***

[2]
Density functional theory data (PBE) for a geometry-optimized Y3TaPd12 structure.

E_tot = -6.62 eV/atom
volume = 17.10 Å³/atom
D(E_F) = 3.96 states/eV per cell
total magnetic moment = 0.000 μB per atom

```
data_Y3TaPd12
_chemical_formula_sum 'Y3 Ta1 Pd12'
_cell_length_a 4.090
_cell_length_b 4.090
_cell_length_c 16.352
_cell_angle_alpha 90.00
_cell_angle_beta 90.00
_cell_angle_gamma 90.00
_space_group_name_H-M_alt 'P 1'
_space_group_IT_number 1
loop_
_space_group_symop_operation_xyz
'x,y,z'
loop_
_atom_site_label
_atom_site_type_symbol
_atom_site_fract_x
_atom_site_fract_y
_atom_site_fract_z
_atom_site_occupancy
Y1 Y 0.000 0.000 0.500 1
Pd1 Pd 0.500 0.500 0.758 1
Pd2 Pd 0.000 0.500 0.113 1
Pd3 Pd 0.500 0.000 0.372 1
Y2 Y 0.000 0.000 0.751 1
Pd4 Pd 0.500 0.500 0.000 1
Ta1 Ta 0.000 0.000 0.000 1
Pd5 Pd 0.500 0.000 0.628 1
Pd6 Pd 0.500 0.500 0.500 1
Pd7 Pd 0.000 0.500 0.628 1
Pd8 Pd 0.500 0.500 0.242 1
Pd9 Pd 0.500 0.000 0.113 1
Pd10 Pd 0.000 0.500 0.887 1
Y3 Y 0.000 0.000 0.249 1
Pd11 Pd 0.500 0.000 0.887 1
Pd12 Pd 0.000 0.500 0.372 1
```

***

[3]
Density functional theory data (PBE) for a geometry-optimized YTaPd3 structure.

E_tot = -6.59 eV/atom
volume = 23.01 Å³/atom
energy above the most stable polymorph in this dataset = 0 meV per atom
D(E_F) = 4.11 states/eV per cell
total magnetic moment = 0.000 μB per atom

```
data_YTaPd3
_chemical_formula_sum 'Y1 Ta1 Pd3'
_cell_length_a 4.863
_cell_length_b 4.863
_cell_length_c 4.863
_cell_angle_alpha 90.00
_cell_angle_beta 90.00
_cell_angle_gamma 90.00
_space_group_name_H-M_alt 'P 1'
_space_group_IT_number 1
loop_
_space_group_symop_operation_xyz
'x,y,z'
loop_
_atom_site_label
_atom_site_type_symbol
_atom_site_fract_x
_atom_site_fract_y
_atom_site_fract_z
_atom_site_occupancy
Y1 Y 0.500 0.500 0.500 1
Pd1 Pd 0.500 0.000 0.000 1
Pd2 Pd 0.000 0.000 0.500 1
Ta1 Ta 0.000 0.000 0.000 1
Pd3 Pd 0.000 0.500 0.000 1
```

***

| no. | calculated formation energy (eV/atom) |
| --- | --- |
| 1 | 0.318 |
| 2 | -0.772 |
| 3 | 0.194 |